# 1
{"formula": "LiHgO2", "functional": "GGA-PBE", "state": "relaxed", "raw_formation_energy_ev_per_atom": -0.61, "spacegroup": "I-42d", "lattice_angstrom": [[-1.988, -3.253, 2.821], [-0.003, -3.106, -3.584], [3.548, -4.767, 0.991]], "species": ["Hg", "Hg", "O", "O", "O", "O", "Li", "Li"], "frac_coords": [[0.000, 0.000, 0.000], [0.750, 0.250, 0.500], [0.581, 0.125, 0.250], [0.169, 0.625, 0.250], [0.375, 0.419, 0.750], [0.875, 0.831, 0.750], [0.500, 0.500, 0.000], [0.250, 0.750, 0.500]]}

# 2
{"formula": "PmSm3Os8", "functional": "GGA-PBE", "state": "relaxed", "spacegroup": "R3m", "e_tot_ev_per_cell": -110.50, "lattice_angstrom": [[5.181, 0.000, 1.564], [2.354, 4.615, 1.564], [-0.005, -0.003, 9.381]], "species": ["Pm", "Sm", "Sm", "Sm", "Os", "Os", "Os", "Os", "Os", "Os", "Os", "Os"], "frac_coords": [[0.875, 0.875, 0.376], [0.375, 0.375, 0.876], [0.000, 0.000, 0.001], [0.500, 0.500, 0.501], [0.936, 0.438, 0.187], [0.435, 0.938, 0.688], [0.438, 0.438, 0.187], [0.938, 0.938, 0.688], [0.188, 0.188, 0.435], [0.688, 0.688, 0.935], [0.438, 0.936, 0.187], [0.938, 0.435, 0.688]]}

# 3
{"formula": "CaY2P", "functional": "GGA-PBE", "state": "relaxed", "spacegroup": "P4/mmm", "e_tot_ev_per_cell": -21.31, "lattice_angstrom": [[4.746, 0.000, 0.000], [0.000, 4.745, 0.000], [0.000, 0.000, 4.395]], "species": ["Ca", "P", "Y", "Y"], "frac_coords": [[0.500, 0.000, 0.500], [0.000, 0.500, 0.500], [0.000, 0.000, 0.000], [0.500, 0.500, 0.000]]}

# 4
{"formula": "TbNd2MnN4", "functional": "GGA-PBE", "state": "relaxed", "raw_formation_energy_ev_per_atom": -0.95, "spacegroup": "Cmcm", "lattice_angstrom": [[-2.959, 1.737, 0.094], [-1.510, -5.966, 0.006], [0.336, -0.074, 12.011]], "species": ["Tb", "Tb", "Nd", "Nd", "Nd", "Nd", "Mn", "Mn", "N", "N", "N", "N", "N", "N", "N", "N"], "frac_coords": [[0.125, 0.249, 0.750], [0.875, 0.751, 0.250], [0.367, 0.735, 0.543], [0.633, 0.265, 0.043], [0.633, 0.265, 0.457], [0.367, 0.735, 0.957], [0.842, 0.684, 0.750], [0.158, 0.316, 0.250], [0.272, 0.545, 0.141], [0.728, 0.455, 0.641], [0.728, 0.455, 0.859], [0.272, 0.545, 0.359], [0.000, 0.000, 0.500], [0.000, 0.000, 0.000], [0.411, 0.822, 0.750], [0.589, 0.178, 0.250]]}

# 5
{"formula": "Zn2AsRh", "functional": "GGA-PBE", "state": "relaxed", "spacegroup": "P4mm", "e_tot_ev_per_cell": -15.15, "lattice_angstrom": [[-1.891, -1.070, 2.610], [2.757, -1.366, 1.438], [0.939, 4.593, 2.563]], "species": ["As", "Rh", "Zn", "Zn"], "frac_coords": [[0.000, 0.000, 0.529], [0.500, 0.500, 0.734], [0.000, 0.000, 0.005], [0.500, 0.500, 0.232]]}

# 6
{"formula": "Mg2CuHg2", "functional": "GGA-PBE", "state": "relaxed", "e_above_lowest_polymorph_ev_per_atom": 0.0000, "spacegroup": "P4/mbm", "lattice_angstrom": [[7.218, 0.000, 0.000], [0.000, 7.218, 0.000], [0.000, 0.000, 3.981]], "species": ["Mg", "Mg", "Mg", "Mg", "Hg", "Hg", "Hg", "Hg", "Cu", "Cu"], "frac_coords": [[0.158, 0.658, 0.500], [0.658, 0.842, 0.500], [0.842, 0.342, 0.500], [0.342, 0.158, 0.500], [0.350, 0.850, 0.000], [0.850, 0.650, 0.000], [0.650, 0.150, 0.000], [0.150, 0.350, 0.000], [0.000, 0.000, 0.000], [0.500, 0.500, 0.000]]}

# 7
{"formula": "ScTeIrN2", "functional": "GGA-PBE", "state": "relaxed", "e_above_lowest_polymorph_ev_per_atom": 0.6892, "raw_formation_energy_ev_per_atom": 1.17, "spacegroup": "P4/mmm", "lattice_angstrom": [[-2.358, -2.112, -2.438], [0.647, -3.268, 2.205], [-4.906, 1.407, 3.525]], "species": ["Sc", "Ir", "Te", "N", "N"], "frac_coords": [[0.000, 0.000, 0.000], [0.500, 0.500, 0.500], [0.000, 0.000, 0.500], [0.000, 0.500, 0.000], [0.500, 0.000, 0.000]]}

# 8
{"formula": "K2PBr", "functional": "GGA-PBE", "state": "relaxed", "e_above_lowest_polymorph_ev_per_atom": 0.1399, "raw_formation_energy_ev_per_atom": -0.46, "spacegroup": "I-42d", "lattice_angstrom": [[-2.192, 0.262, -8.349], [-8.306, -0.979, 2.150], [-5.703, 4.064, -2.841]], "species": ["P", "P", "K", "K", "K", "K", "Br", "Br"], "frac_coords": [[0.500, 0.500, 0.000], [0.250, 0.750, 0.500], [0.634, 0.125, 0.250], [0.116, 0.625, 0.250], [0.375, 0.366, 0.750], [0.875, 0.884, 0.750], [0.000, 0.000, 0.000], [0.750, 0.250, 0.500]]}

no.,size of the total moment (Bohr magnetons per cell)
1,2.00
2,0.00
3,0.00
4,0.00
5,0.00
6,0.00
7,2.40
8,4.00